VCdPO7 | PBE+U | optimized geometry

Cell lengths 5.531, 7.039, 7.462 Å; angles 90.00, 106.89, 90.00 degrees
Space group P2_1 (No. 4)
Asymmetric unit:
V: 0.049 0.000 0.041
Cd: 0.494 0.526 0.504
P: 0.056 0.777 0.657
O: 0.101 0.275 0.984
O: 0.101 0.962 0.783
O: 0.109 0.596 0.785
O: 0.217 0.272 0.472
O: 0.256 0.781 0.550
O: 0.279 0.540 0.182
O: 0.338 0.959 0.180

Electronic total energy, eV/atom: -6.2891
DOS at the Fermi energy, states/eV per cell: 0.8
Volume, Å³/cell: 278.01